{"formula": "YMgGa4", "functional": "PBE-GGA", "state": "optimized geometry", "lattice": [[0.000, 3.887, 3.887], [3.887, 0.000, 3.887], [3.887, 3.887, 0.000]], "species": ["Y", "Mg", "Ga", "Ga", "Ga", "Ga"], "fractional_positions": [[0.000, 0.000, 0.000], [0.750, 0.750, 0.750], [0.375, 0.375, 0.375], [0.375, 0.375, 0.875], [0.375, 0.875, 0.375], [0.875, 0.375, 0.375]], "formation_energy_ev_per_atom": -0.296, "n_ef_per_ev_cell": 3.2, "rho_g_cm3": 5.54, "magmom_total_mub_per_fu": 0.00}